A geometry-optimized PmGaNi2 structure, computed with GGA-PBE.

Values from the calculation:
**Mass density**: 8.351 Mg/m³
**Energy of formation**: -0.32 eV per atom
**DOS(E_F)**: 0.735 states/eV/atom

Lattice parameters (Å, degrees): 4.537 4.537 4.537 60.00 60.00 60.00
Fractional coordinates of all 4 atoms:
Pm: 0.000 0.000 0.000
Ga: 0.500 0.500 0.500
Ni: 0.250 0.250 0.250
Ni: 0.750 0.750 0.750